Entry 1:
This record from the Alexandria database describes LiIO3 after structural relaxation. The functional is GGA-PBEsol.

Cell lengths 9.386, 9.386, 6.237 Å; angles 90.00, 90.00, 90.00 degrees
Positions (direct):
Li1 0.081 0.254 0.093
Li2 0.246 0.081 0.407
Li3 0.254 0.419 0.407
Li4 0.419 0.246 0.093
Li5 0.581 0.754 0.907
Li6 0.746 0.581 0.593
Li7 0.754 0.919 0.593
Li8 0.919 0.746 0.907
I1 0.038 0.755 0.383
I2 0.245 0.538 0.883
I3 0.255 0.962 0.883
I4 0.462 0.745 0.383
I5 0.538 0.255 0.617
I6 0.745 0.038 0.117
I7 0.755 0.462 0.117
I8 0.962 0.245 0.617
O1 0.052 0.141 0.825
O2 0.090 0.220 0.400
O3 0.115 0.672 0.965
O4 0.141 0.448 0.675
O5 0.172 0.885 0.465
O6 0.220 0.410 0.100
O7 0.280 0.090 0.100
O8 0.328 0.615 0.465
O9 0.359 0.052 0.675
O10 0.385 0.828 0.965
O11 0.410 0.280 0.400
O12 0.448 0.359 0.825
O13 0.552 0.641 0.175
O14 0.590 0.720 0.600
O15 0.615 0.172 0.035
O16 0.641 0.948 0.325
O17 0.672 0.385 0.535
O18 0.720 0.910 0.900
O19 0.780 0.590 0.900
O20 0.828 0.115 0.535
O21 0.859 0.552 0.325
O22 0.885 0.328 0.035
O23 0.910 0.780 0.600
O24 0.948 0.859 0.175

Calculated total energy in eV/atom: -4.877
Space-group type: P4_2/n
DOS at the Fermi energy in states/eV per cell: 0.0
ΔE_f (raw) in eV per atom: -0.980
Crystal system: tetragonal


Entry 2:
This record from the Alexandria database describes ZnSe2Br after structural relaxation. The functional is GGA-PBEsol.

Cell lengths 3.726, 3.726, 6.659 Å; angles 90.00, 90.00, 90.00 degrees
Positions (direct):
Zn1 0.000 0.000 0.000
Se1 0.000 0.500 0.500
Se2 0.500 0.000 0.500
Br1 0.500 0.500 0.000

Calculated total energy in eV/atom: -2.801
Space-group type: P4/mmm
DOS at the Fermi energy in states/eV per cell: 1.6
ΔE_f (raw) in eV per atom: -0.013
Crystal system: tetragonal


Entry 3:
This record from the Alexandria database describes CrIrBr2 after structural relaxation. The functional is GGA-PBEsol.

Cell lengths 3.028, 5.607, 8.532 Å; angles 90.00, 90.00, 90.00 degrees
Positions (direct):
Cr1 0.000 0.000 0.000
Cr2 0.500 0.500 0.000
Ir1 0.000 0.000 0.500
Ir2 0.500 0.500 0.500
Br1 0.000 0.500 0.232
Br2 0.000 0.500 0.768
Br3 0.500 0.000 0.232
Br4 0.500 0.000 0.768

Calculated total energy in eV/atom: -5.058
Space-group type: Cmmm
DOS at the Fermi energy in states/eV per cell: 8.3
ΔE_f (raw) in eV per atom: 0.893
Crystal system: orthorhombic


Entry 4:
This record from the Alexandria database describes ZnIn2Cu after structural relaxation. The functional is GGA-PBEsol.

Cell lengths 2.912, 4.420, 11.780 Å; angles 90.00, 90.00, 90.00 degrees
Positions (direct):
Zn1 0.000 0.000 0.000
Zn2 0.500 0.500 0.500
In1 0.000 0.000 0.393
In2 0.000 0.500 0.182
In3 0.500 0.000 0.682
In4 0.500 0.500 0.893
Cu1 0.000 0.500 0.682
Cu2 0.500 0.000 0.182

Calculated total energy in eV/atom: -2.877
Space-group type: Imm2
DOS at the Fermi energy in states/eV per cell: 3.0
ΔE_f in kcal/mol of atoms: 2.15
Crystal system: orthorhombic


Entry 5:
This record from the Alexandria database describes Li2CuRh after structural relaxation. The functional is GGA-PBEsol.

Cell lengths 5.831, 5.831, 5.831 Å; angles 90.00, 90.00, 90.00 degrees
Positions (direct):
Li1 0.000 0.000 0.000
Li2 0.000 0.500 0.500
Li3 0.250 0.250 0.250
Li4 0.250 0.750 0.750
Li5 0.500 0.000 0.500
Li6 0.500 0.500 0.000
Li7 0.750 0.250 0.750
Li8 0.750 0.750 0.250
Cu1 0.250 0.250 0.750
Cu2 0.250 0.750 0.250
Cu3 0.750 0.250 0.250
Cu4 0.750 0.750 0.750
Rh1 0.000 0.000 0.500
Rh2 0.000 0.500 0.000
Rh3 0.500 0.000 0.000
Rh4 0.500 0.500 0.500

Calculated total energy in eV/atom: -4.106
Space-group type: F-43m
DOS at the Fermi energy in states/eV per cell: 7.2
ΔE_f in kcal/mol of atoms: -0.10
Crystal system: cubic


Entry 6:
This record from the Alexandria database describes InSiBiH2 after structural relaxation. The functional is GGA-PBEsol.

Cell lengths 4.065, 4.065, 5.739 Å; angles 90.00, 90.00, 90.00 degrees
Positions (direct):
In1 0.000 0.000 0.000
Si1 0.500 0.500 0.000
Bi1 0.500 0.500 0.500
H1 0.000 0.500 0.500
H2 0.500 0.000 0.500

Calculated total energy in eV/atom: -3.452
Space-group type: P4/mmm
DOS at the Fermi energy in states/eV per cell: 1.2
Crystal system: tetragonal


Entry 7:
This record from the Alexandria database describes ZrSbAs after structural relaxation. The functional is GGA-PBEsol.

Cell lengths 3.503, 3.503, 6.228 Å; angles 90.00, 90.00, 120.00 degrees
Positions (direct):
Zr1 0.000 0.000 0.000
Sb1 0.667 0.333 0.358
As1 0.333 0.667 0.721

Calculated total energy in eV/atom: -6.615
Space-group type: P3m1
DOS at the Fermi energy in states/eV per cell: 2.4
ΔE_f (raw) in eV per atom: -0.364
Crystal system: trigonal


Entry 8:
This record from the Alexandria database describes CdNCl2 after structural relaxation. The functional is GGA-PBEsol.

Cell lengths 3.829, 3.829, 28.322 Å; angles 90.00, 90.00, 120.00 degrees
Positions (direct):
Cd1 0.000 0.000 0.000
Cd2 0.333 0.667 0.667
Cd3 0.667 0.333 0.333
N1 0.000 0.000 0.500
N2 0.333 0.667 0.167
N3 0.667 0.333 0.833
Cl1 0.000 0.000 0.384
Cl2 0.000 0.000 0.616
Cl3 0.333 0.667 0.050
Cl4 0.333 0.667 0.283
Cl5 0.667 0.333 0.717
Cl6 0.667 0.333 0.950

Calculated total energy in eV/atom: -2.904
Space-group type: R-3m
DOS at the Fermi energy in states/eV per cell: 0.0
ΔE_f (raw) in eV per atom: 0.531
Crystal system: trigonal